[1]
Computed, not measured: a geometry-optimized Ca3NbSb structure at the PBE-GGA level of DFT. Values from VASP.

Quantum ESPRESSO input file:
```
&SYSTEM
  ibrav = 0, nat = 5, ntyp = 3
/
ATOMIC_SPECIES
Sb 121.76 Sb.upf
Nb 92.91 Nb.upf
Ca 40.08 Ca.upf
CELL_PARAMETERS angstrom
-3.116 -4.932 0.603
3.472 -2.670 -3.900
3.554 -1.716 4.338
ATOMIC_POSITIONS angstrom
Sb 0.000 0.000 0.000
Nb 1.955 -4.659 0.520
Ca 1.736 -1.335 -1.950
Ca 1.777 -0.858 2.169
Ca -1.558 -2.466 0.301
```

- Total magnetization: 5.757 μB/cell
- Energy relative to the elements, uncorrected: 0.477 eV/atom
- Polymorph energy (0 for the lowest one): 0.0000 eV per atom
- E: -17.814 eV per cell

[2]
Computed, not measured: a geometry-optimized PmMgSi structure at the PBE-GGA level of DFT. Values from VASP.

Quantum ESPRESSO input file:
```
&SYSTEM
  ibrav = 0, nat = 12, ntyp = 3
/
ATOMIC_SPECIES
Pm 145.00 Pm.upf
Si 28.09 Si.upf
Mg 24.30 Mg.upf
CELL_PARAMETERS angstrom
-3.831 5.365 3.455
-2.468 -6.853 1.528
6.842 0.434 2.083
ATOMIC_POSITIONS angstrom
Pm -1.609 0.892 3.254
Pm 3.727 -1.574 2.567
Pm 1.812 1.109 4.295
Pm -2.843 -2.535 4.018
Si 0.860 -5.804 2.701
Si -3.583 3.143 3.105
Si 0.364 -1.359 3.402
Si -2.716 -4.631 1.879
Mg -0.308 -3.504 1.912
Mg 0.920 -0.077 1.140
Mg -0.377 -0.977 5.927
Mg 1.532 -3.659 4.192
```

- Total magnetization: 0.001 μB/cell
- Energy relative to the elements, uncorrected: -0.224 eV/atom
- Polymorph energy (0 for the lowest one): 0.2690 eV per atom
- E: -49.762 eV per cell

[3]
Computed, not measured: a geometry-optimized Sr2As2Cl structure at the PBE-GGA level of DFT. Values from VASP.

Quantum ESPRESSO input file:
```
&SYSTEM
  ibrav = 0, nat = 10, ntyp = 3
/
ATOMIC_SPECIES
Sr 87.62 Sr.upf
As 74.92 As.upf
Cl 35.45 Cl.upf
CELL_PARAMETERS angstrom
-2.199 -3.068 7.234
6.233 -5.256 -0.334
2.597 2.950 2.040
ATOMIC_POSITIONS angstrom
Sr 4.393 -5.261 2.016
Sr 2.466 -6.097 5.678
Sr -0.359 -3.062 4.884
Sr 1.568 -2.226 1.222
As 4.836 -2.021 1.573
As 5.552 -5.086 5.093
As 1.795 -3.352 7.367
As 1.079 -0.287 3.848
Cl 0.000 0.000 0.000
Cl 2.017 -4.162 3.450
```

- Total magnetization: 1.467 μB/cell
- Energy relative to the elements, uncorrected: -1.306 eV/atom
- E: -42.083 eV per cell

[4]
Computed, not measured: a geometry-optimized K2HgSbSe structure at the PBE-GGA level of DFT. Values from VASP.

Quantum ESPRESSO input file:
```
&SYSTEM
  ibrav = 0, nat = 5, ntyp = 4
/
ATOMIC_SPECIES
Sb 121.76 Sb.upf
K 39.10 K.upf
Hg 200.59 Hg.upf
Se 78.96 Se.upf
CELL_PARAMETERS angstrom
-5.281 -2.742 -1.836
0.392 -3.586 4.228
-3.271 3.888 3.601
ATOMIC_POSITIONS angstrom
Sb 0.196 -1.793 2.114
K -1.635 1.944 1.800
K -2.640 -1.371 -0.918
Hg -4.080 -1.220 2.996
Se 0.000 0.000 0.000
```

- Total magnetization: 0.000 μB/cell
- Energy relative to the elements, uncorrected: -0.343 eV/atom
- E: -11.821 eV per cell

[5]
Computed, not measured: a geometry-optimized Ta2Zn2Rh structure at the PBE-GGA level of DFT. Values from VASP.

Quantum ESPRESSO input file:
```
&SYSTEM
  ibrav = 0, nat = 10, ntyp = 3
/
ATOMIC_SPECIES
Zn 65.41 Zn.upf
Rh 102.91 Rh.upf
Ta 180.95 Ta.upf
CELL_PARAMETERS angstrom
-1.237 4.511 4.513
0.554 -4.504 4.654
3.633 0.726 0.270
ATOMIC_POSITIONS angstrom
Zn 0.025 -2.249 5.708
Zn -0.725 1.077 6.859
Zn -0.708 2.257 3.459
Zn 0.042 -1.070 2.309
Rh 0.000 0.000 0.000
Rh -0.342 0.004 4.584
Ta 1.977 -1.888 4.025
Ta 1.446 -0.348 7.022
Ta 0.973 2.621 5.412
Ta 1.503 1.081 2.416
```

- Calculated formation energy: -3 kJ/mol of atoms
- Total magnetization: 0.000 μB/cell
- E: -67.477 eV per cell

[6]
Computed, not measured: a geometry-optimized Co2RePt structure at the PBE-GGA level of DFT. Values from VASP.

Quantum ESPRESSO input file:
```
&SYSTEM
  ibrav = 0, nat = 4, ntyp = 3
/
ATOMIC_SPECIES
Co 58.93 Co.upf
Pt 195.08 Pt.upf
Re 186.21 Re.upf
CELL_PARAMETERS angstrom
4.478 -0.002 -0.009
3.688 2.539 -0.009
0.769 0.239 4.651
ATOMIC_POSITIONS angstrom
Co 8.167 2.537 0.099
Co 4.466 1.387 2.201
Pt 6.701 2.082 3.476
Re 2.234 0.694 1.159
```

- Calculated formation energy: 2 kJ/mol of atoms
- Total magnetization: 2.416 μB/cell
- Polymorph energy (0 for the lowest one): 0.0378 eV per atom
- E: -32.598 eV per cell